K2AsRh | PBE-GGA | relaxed

SG	I-42d
DFT formation energy	-0.1537	eV/atom
magnetic moment	0.0	μB/cell

abc: 12.4558 12.4558 9.1058
angles: 46.85 46.85 90.00
Fractional positions:
As1 0.5000 0.5000 0.0000
As2 0.2500 0.7500 0.5000
Rh1 0.0000 0.0000 0.0000
Rh2 0.7500 0.2500 0.5000
K1 0.8689 0.1250 0.2500
K2 0.8811 0.6250 0.2500
K3 0.3750 0.1311 0.7500
K4 0.8750 0.1189 0.7500

=====

SmTlSn2Cl8 | PBE-GGA | relaxed

raw formation energy	-1.422	eV per atom
SG	P-1
magnetic moment	0.0	μB/cell

abc: 6.5446 6.9044 9.0714
angles: 93.01 92.06 88.38
Fractional positions:
Sm1 0.0000 0.0000 0.0000
Tl1 0.0000 0.0000 0.5000
Sn1 0.5058 0.5120 0.7485
Sn2 0.4942 0.4880 0.2515
Cl1 0.2147 0.8160 0.2149
Cl2 0.7509 0.6855 0.9645
Cl3 0.7502 0.1445 0.2153
Cl4 0.7853 0.1840 0.7851
Cl5 0.2491 0.3145 0.0355
Cl6 0.2498 0.8555 0.7847
Cl7 0.7165 0.6406 0.5433
Cl8 0.2835 0.3594 0.4567

=====

SrPmZnGa | PBE-GGA | relaxed

SG	F-43m
DFT formation energy	-0.3264	eV/atom
magnetic moment	0.0	μB/cell

abc: 5.3422 5.3422 5.3422
angles: 60.00 60.00 60.00
Fractional positions:
Sr1 0.5000 0.5000 0.5000
Zn1 0.7500 0.7500 0.7500
Ga1 0.2500 0.2500 0.2500
Pm1 0.0000 0.0000 0.0000

=====

PtPb2N | PBE-GGA | relaxed

raw formation energy	0.458	eV per atom
SG	I-42d
magnetic moment	0.0	μB/cell

abc: 6.2540 6.2540 6.5579
angles: 61.52 61.52 90.00
Fractional positions:
Pb1 0.5764 0.1250 0.2500
Pb2 0.1736 0.6250 0.2500
Pb3 0.3750 0.4236 0.7500
Pb4 0.8750 0.8264 0.7500
Pt1 0.0000 0.0000 0.0000
Pt2 0.7500 0.2500 0.5000
N1 0.5000 0.5000 0.0000
N2 0.2500 0.7500 0.5000

=====

no.,D(E_F) (states/eV/f.u.)
1,2.262
2,0.000
3,2.689
4,1.496